{"formula": "AlBrCl2", "functional": "PBE-GGA", "state": "relaxed", "lattice_angstrom": [[-3.306, -6.329, 0.494], [4.032, 3.853, -4.487], [2.161, 1.077, 5.386]], "species": ["Al", "Br", "Cl", "Cl"], "fractional_positions": [[0.502, 0.498, 0.000], [0.870, 0.130, 0.500], [0.009, 0.991, 0.000], [0.119, 0.881, 0.500]], "final_energy_ev_per_atom": -3.52, "sg": "Amm2 (38)", "e_form_raw_kcal_per_mol_atoms": -28.8, "m_tot_mub_per_fu": 0.0, "dos_ef_per_ev_cell": 0.00}